1.
A plane-wave DFT calculation with GGA-PBE was carried out for a relaxed TiAgRuO2 crystal.

a b c (Å): 3.8078 5.3937 3.8078
angles (deg): 90.00 90.00 90.00
Closest atoms and distances in Å follow each position.
Element x y z (fractional)
Ru: 0.0000 0.0000 0.0000  4 O 1.90
O: 0.0000 0.0000 0.5000  2 Ru 1.90
O: 0.5000 0.0000 0.0000  2 Ru 1.90
Ag: 0.0000 0.5000 0.0000  4 Ti 2.69, 2 Ru 2.70
Ti: 0.5000 0.5000 0.5000  4 Ag 2.69

symmetry	P4/mmm



2.
A plane-wave DFT calculation with GGA-PBE was carried out for a relaxed Tl3AgRu2O8 crystal.

a b c (Å): 6.0926 6.0926 7.9510
angles (deg): 90.00 90.00 120.00
Closest atoms and distances in Å follow each position.
Element x y z (fractional)
Tl: 0.3333 0.6667 0.6596  1 O 2.58
Tl: 0.6667 0.3333 0.3404  1 O 2.58
Tl: 0.0000 0.0000 0.0000  6 O 2.96
Ag: 0.0000 0.0000 0.5000  6 O 2.47
Ru: 0.3333 0.6667 0.2083  4 O 1.78-1.81
Ru: 0.6667 0.3333 0.7917  4 O 1.78-1.81
O: 0.3333 0.6667 0.9847  1 Ru 1.78
O: 0.6667 0.3333 0.0153  1 Ru 1.78
O: 0.1733 0.8267 0.2920  1 Ru 1.81
O: 0.8267 0.1733 0.7080  1 Ru 1.81
O: 0.1733 0.3467 0.2920  1 Ru 1.81
O: 0.8267 0.6533 0.7080  1 Ru 1.81
O: 0.6533 0.8267 0.2920  1 Ru 1.81
O: 0.3467 0.1733 0.7080  1 Ru 1.81

symmetry	P-3m1



3.
A plane-wave DFT calculation with GGA-PBE was carried out for a relaxed Tm2Ag2RuO6 crystal.

a b c (Å): 5.7633 5.7633 6.5343
angles (deg): 83.17 83.17 120.69
Closest atoms and distances in Å follow each position.
Element x y z (fractional)
Tm: 0.3360 0.6640 0.5000  6 O 2.21-2.25
Tm: 0.6640 0.3360 0.5000  6 O 2.21-2.25
Ag: 0.8472 0.1528 0.0000  2 O 2.10
Ag: 0.1528 0.8472 0.0000  2 O 2.10
Ru: 0.0000 0.0000 0.5000  6 O 1.97-2.11
O: 0.6569 0.6569 0.6514  1 Ru 1.97
O: 0.9477 0.2651 0.6691  1 Ag 2.10, 1 Ru 2.11, 2 Tm 2.25
O: 0.3431 0.3431 0.3486  1 Ru 1.97
O: 0.2651 0.9477 0.6691  1 Ag 2.10, 1 Ru 2.11, 2 Tm 2.25
O: 0.0523 0.7349 0.3309  1 Ag 2.10, 1 Ru 2.11, 2 Tm 2.25
O: 0.7349 0.0523 0.3309  1 Ag 2.10, 1 Ru 2.11, 2 Tm 2.25

symmetry	C2/m



Number 1: total DFT energy (no corrections) -29.65 eV per cell. Number 2: total DFT energy (no corrections) -77.78 eV per cell. Number 3: total DFT energy (no corrections) -74.00 eV per cell.